*one*
Density functional theory data (PBEsol) for K2HgSe after structural relaxation.

Cell and atoms, written as POSCAR:
```
K2HgSe
1.0
5.5314 0.0000 0.0000
2.7657 4.7904 0.0000
2.7657 1.5968 4.5164
K Hg Se
2 1 1
Direct
0.2500 0.2500 0.2500
0.7500 0.7500 0.7500
0.5000 0.5000 0.5000
0.0000 0.0000 0.0000
```

Summary:
The space group is Fm-3m. Its volume is 29.92 A^3/atom.



*two*
Density functional theory data (PBEsol) for K2HgSe after structural relaxation.

Cell and atoms, written as POSCAR:
```
K2HgSe
1.0
-3.2582 -2.5765 2.1806
2.2274 -3.8626 -1.2358
4.8575 1.5151 4.0196
K Hg Se
2 1 1
Direct
0.0175 0.0000 0.9097
0.7365 0.5000 0.3482
0.4512 0.5000 0.7765
0.2948 0.0000 0.4656
```

Summary:
The space group is Pm. Its volume is 32.82 A^3/atom.



*three*
Density functional theory data (PBEsol) for K2HgSe after structural relaxation.

Cell and atoms, written as POSCAR:
```
K2HgSe
1.0
-2.6532 -2.2395 2.5973
-2.7297 -1.6204 -4.1856
3.1324 -4.1963 -0.4183
Hg K Se
1 2 1
Direct
0.5000 0.0000 0.0000
0.0000 0.0000 0.5000
0.0000 0.5000 0.0000
0.5000 0.5000 0.5000
```

Summary:
The space group is P4/mmm. Its volume is 29.91 A^3/atom.



If we sort the structures by their calculated energies, the order from most to least stable is *one*, *two*, *three*.



*one*
Density functional theory data (PBEsol) for KTlHg after structural relaxation.

Cell and atoms, written as POSCAR:
```
KTlHg
1.0
3.4815 0.0000 0.0000
0.0000 5.3684 0.0000
0.0000 -2.6842 4.6491
K Tl Hg
1 1 1
Direct
0.0000 0.3333 0.6667
0.5000 0.6667 0.3333
0.5000 0.0000 0.0000
```

Summary:
The space group is P-6m2. Its volume is 28.96 A^3/atom.



*two*
Density functional theory data (PBEsol) for KTlHg after structural relaxation.

Cell and atoms, written as POSCAR:
```
KTlHg
1.0
5.3668 0.0000 0.0000
2.6834 4.6478 0.0000
2.6834 1.5493 4.3820
Hg K Tl
1 1 1
Direct
0.5000 0.5000 0.5000
0.2500 0.2500 0.2500
0.0000 0.0000 0.0000
```

Summary:
The space group is F-43m. Its volume is 36.43 A^3/atom.



*three*
Density functional theory data (PBEsol) for KTlHg after structural relaxation.

Cell and atoms, written as POSCAR:
```
KTlHg
1.0
3.9761 0.0000 0.0000
0.0000 3.9761 0.0000
-1.9880 -1.9880 5.9492
K Tl Hg
1 1 1
Direct
0.6636 0.6636 0.3272
0.3662 0.3662 0.7325
0.9702 0.9702 0.9403
```

Summary:
The space group is I4mm. Its volume is 31.35 A^3/atom.



If we sort the structures by their calculated energies, the order from most to least stable is *one*, *three*, *two*.



*one*
Density functional theory data (PBEsol) for KTl2Hg after structural relaxation.

Cell and atoms, written as POSCAR:
```
KTl2Hg
1.0
-3.1256 1.5798 -1.3422
-0.4599 -2.8964 -2.3380
-4.5005 -3.9718 5.8057
K Tl Hg
1 2 1
Direct
0.5000 0.5000 0.5000
0.0000 0.0000 0.7977
0.0000 0.0000 0.2023
0.5000 0.5000 0.0000
```

Summary:
The space group is P4/mmm. Its volume is 29.37 A^3/atom.



*two*
Density functional theory data (PBEsol) for KTl2Hg after structural relaxation.

Cell and atoms, written as POSCAR:
```
KTl2Hg
1.0
-1.6950 -1.5775 3.8974
-3.8047 -1.9861 -2.4585
2.6711 -4.3670 -0.6059
K Tl Hg
1 2 1
Direct
0.0000 0.5000 0.5000
0.0000 0.0000 0.0000
0.5000 0.5000 0.0000
0.5000 0.0000 0.5000
```

Summary:
The space group is Pmmm. Its volume is 28.90 A^3/atom.



If we sort the structures by their calculated energies, the order from most to least stable is *one*, *two*.



*one*
Density functional theory data (PBEsol) for K2ZnHg after structural relaxation.

Cell and atoms, written as POSCAR:
```
K2ZnHg
1.0
4.1590 0.0000 0.0000
0.0000 5.7838 0.0000
-2.0795 -2.8919 5.5531
K Zn Hg
2 1 1
Direct
0.9728 0.9728 0.9457
0.7765 0.2765 0.5529
0.5515 0.5515 0.1029
0.1992 0.6992 0.3985
```

Summary:
The space group is Imm2. Its volume is 33.39 A^3/atom.



*two*
Density functional theory data (PBEsol) for K2ZnHg after structural relaxation.

Cell and atoms, written as POSCAR:
```
K2ZnHg
1.0
4.6108 0.0000 0.0000
0.0000 5.1045 0.0000
0.0000 -2.5523 6.0783
K Zn Hg
2 1 1
Direct
0.0000 0.1003 0.2006
0.5000 0.3984 0.7968
0.0000 0.8024 0.6048
0.5000 0.6951 0.3901
```

Summary:
The space group is Amm2. Its volume is 35.76 A^3/atom.



If we sort the structures by their calculated energies, the order from most to least stable is *two*, *one*.